# 1
Entry from Alexandria via LeMat-Bulk: a relaxed structure of Sb2PbSF (PBE).

```
Sb2PbSF
1.0
5.252 0.000 0.000
0.000 5.252 0.000
0.000 0.000 5.790
Sb Pb S F
2 1 1 1
Cartesian
0.000 2.626 0.000 Sb
2.626 0.000 0.000 Sb
0.000 0.000 2.895 Pb
0.000 0.000 0.000 S
2.626 2.626 2.895 F
```

energy relative to the elements, uncorrected = 0.0989 eV/atom
crystal system = tetragonal
symmetry = P4/mmm, No. 123

***

# 2
Entry from Alexandria via LeMat-Bulk: a relaxed structure of ScPb2SF (PBE).

```
ScPb2SF
1.0
4.697 0.000 0.000
0.000 4.697 0.000
0.000 0.000 5.499
Sc Pb S F
1 2 1 1
Cartesian
0.000 0.000 0.000 Sc
0.000 2.349 2.749 Pb
2.349 0.000 2.749 Pb
2.349 2.349 0.000 S
2.349 2.349 2.749 F
```

energy relative to the elements, uncorrected = -0.4266 eV/atom
crystal system = tetragonal
symmetry = P4/mmm, No. 123

***

# 3
Entry from Alexandria via LeMat-Bulk: a relaxed structure of SnPbS2F (PBE).

```
SnPbS2F
1.0
3.965 0.000 0.000
0.000 3.965 0.000
0.000 0.000 13.957
Sn Pb S F
2 2 4 2
Cartesian
0.991 0.991 1.686 Sn
2.974 2.974 12.271 Sn
0.991 0.991 8.580 Pb
2.974 2.974 5.377 Pb
0.991 0.991 4.134 S
0.991 0.991 12.580 S
2.974 2.974 1.377 S
2.974 2.974 9.824 S
0.991 2.974 6.979 F
2.974 0.991 6.979 F
```

energy relative to the elements, uncorrected = -0.9494 eV/atom
crystal system = tetragonal
symmetry = P4/nmm, No. 129

***

# 4
Entry from Alexandria via LeMat-Bulk: a relaxed structure of SrPb2SF (PBE).

```
SrPb2SF
1.0
5.820 0.000 0.000
0.000 5.820 0.000
0.000 0.000 4.248
Sr Pb S F
1 2 1 1
Cartesian
0.000 0.000 0.000 Sr
0.000 2.910 2.124 Pb
2.910 0.000 2.124 Pb
2.910 2.910 2.124 S
2.910 2.910 0.000 F
```

energy relative to the elements, uncorrected = -0.4199 eV/atom
crystal system = tetragonal
symmetry = P4/mmm, No. 123

***

# 5
Entry from Alexandria via LeMat-Bulk: a relaxed structure of Tc2PbSF (PBE).

```
Tc2PbSF
1.0
4.420 0.000 0.000
0.000 4.420 0.000
0.000 0.000 4.610
Tc Pb S F
2 1 1 1
Cartesian
0.000 2.210 0.000 Tc
2.210 0.000 0.000 Tc
0.000 0.000 2.305 Pb
2.210 2.210 0.000 S
2.210 2.210 2.305 F
```

energy relative to the elements, uncorrected = 0.2078 eV/atom
crystal system = tetragonal
symmetry = P4/mmm, No. 123

***

# 6
Entry from Alexandria via LeMat-Bulk: a relaxed structure of TePbS2F (PBE).

```
TePbS2F
1.0
5.020 0.000 0.000
0.000 5.020 0.000
0.000 0.000 4.776
Te Pb S F
1 1 2 1
Cartesian
0.000 0.000 0.000 Te
2.510 2.510 0.000 Pb
0.000 2.510 2.388 S
2.510 0.000 2.388 S
2.510 2.510 2.388 F
```

energy relative to the elements, uncorrected = 0.2465 eV/atom
crystal system = tetragonal
symmetry = P4/mmm, No. 123

***

# 7
Entry from Alexandria via LeMat-Bulk: a relaxed structure of TlPbSF2 (PBE).

```
TlPbSF2
1.0
4.708 0.000 0.000
0.000 4.708 0.000
0.000 0.000 5.294
Tl Pb S F
1 1 1 2
Cartesian
0.000 0.000 0.000 Tl
2.354 2.354 2.647 Pb
2.354 2.354 0.000 S
0.000 2.354 2.647 F
2.354 0.000 2.647 F
```

energy relative to the elements, uncorrected = -1.3644 eV/atom
crystal system = tetragonal
symmetry = P4/mmm, No. 123

***

# 8
Entry from Alexandria via LeMat-Bulk: a relaxed structure of TlPbSF (PBE).

```
TlPbSF
1.0
2.494 1.440 10.618
-2.494 1.440 10.618
0.000 -2.880 10.618
Tl Pb S F
2 2 2 2
Cartesian
0.000 0.000 3.927 Tl
0.000 0.000 27.927 Tl
0.000 0.000 9.212 Pb
0.000 0.000 22.642 Pb
0.000 0.000 12.088 S
0.000 0.000 19.766 S
0.000 0.000 6.444 F
0.000 0.000 25.410 F
```

energy relative to the elements, uncorrected = -1.0734 eV/atom
crystal system = trigonal
symmetry = R-3m, No. 166